First-principles (PBE) data for a geometry-optimized Re2AgW structure, as listed in Alexandria via LeMat-Bulk. Values from VASP.

Structure (Quantum ESPRESSO input):
```
&SYSTEM
  ibrav = 0, nat = 12, ntyp = 3
/
ATOMIC_SPECIES
Re 186.21 Re.upf
Ag 107.87 Ag.upf
W 183.84 W.upf
CELL_PARAMETERS angstrom
2.801 0.000 0.000
-1.401 2.426 0.000
0.000 0.000 28.275
ATOMIC_POSITIONS angstrom
Re 0.000 0.000 6.947
Re 0.000 0.000 21.328
Re 0.000 1.617 11.903
Re 0.000 1.617 25.797
Re 1.401 0.809 2.478
Re 1.401 0.809 16.372
Ag 0.000 0.000 0.000
Ag 0.000 1.617 18.850
Ag 1.401 0.809 9.425
W 0.000 0.000 14.137
W 0.000 1.617 4.712
W 1.401 0.809 23.562
```

DOS at the Fermi energy (states/eV per atom): 1.03
E_form (kJ per mole of atoms): 38.9
Space-group type: No. 166

***

First-principles (PBE) data for a geometry-optimized Zn4CrPt structure, as listed in Alexandria via LeMat-Bulk. Values from VASP.

Structure (Quantum ESPRESSO input):
```
&SYSTEM
  ibrav = 0, nat = 6, ntyp = 3
/
ATOMIC_SPECIES
Zn 65.41 Zn.upf
Cr 52.00 Cr.upf
Pt 195.08 Pt.upf
CELL_PARAMETERS angstrom
0.000 3.509 3.509
3.509 0.000 3.509
3.509 3.509 0.000
ATOMIC_POSITIONS angstrom
Zn 0.878 0.878 0.878
Zn 2.631 2.631 0.878
Zn 2.631 0.878 2.631
Zn 0.878 2.631 2.631
Cr 5.264 5.264 5.264
Pt 3.509 3.509 3.509
```

DOS at the Fermi energy (states/eV per atom): 0.25
E_form (kJ per mole of atoms): -11.1
Space-group type: No. 216

***

VASP energy values (in eV per atom) by entry order: -9.772; -3.575.